A plane-wave DFT calculation with PBE was carried out for PuZrBi after structural relaxation.

Output
Calculated volume: 167 Å³/cell
E above lowest polymorph: 0.000 eV per atom
Space group: P4/nmm (129)
DOS at the Fermi energy: 23.49 states/eV per cell
E: -9.18 eV per atom

Cell: 4.469 4.469 8.363 Å, 90.00 90.00 90.00°
Fractional positions:
Pu 0.250 0.250 0.158
Pu 0.750 0.750 0.842
Zr 0.250 0.750 0.500
Zr 0.750 0.250 0.500
Bi 0.250 0.250 0.762
Bi 0.750 0.750 0.238

A plane-wave DFT calculation with PBE was carried out for La2NbSnAu after structural relaxation.

Output
Calculated volume: 182 Å³/cell
Space group: P4/mmm (123)
DOS at the Fermi energy: 6.00 states/eV per cell
E: -4.69 eV per atom

Cell: 6.035 6.035 4.994 Å, 90.00 90.00 90.00°
Fractional positions:
La 0.000 0.500 0.000
La 0.500 0.000 0.000
Nb 0.000 0.000 0.500
Sn 0.500 0.500 0.000
Au 0.500 0.500 0.500

A plane-wave DFT calculation with PBE was carried out for Pr3Nd6Y after structural relaxation.

Output
Calculated volume: 710 Å³/cell
E above lowest polymorph: 0.000 eV per atom
Space group: Cmc2_1 (36)
DOS at the Fermi energy: 26.48 states/eV per cell
E: -4.81 eV per atom

Cell: 11.215 11.215 6.580 Å, 90.00 90.00 120.88°
Fractional positions:
Pr 0.115 0.885 0.500
Pr 0.208 0.441 0.115
Pr 0.441 0.208 0.615
Pr 0.559 0.792 0.115
Pr 0.792 0.559 0.615
Pr 0.885 0.115 0.000
Nd 0.022 0.441 0.715
Nd 0.129 0.214 0.524
Nd 0.214 0.129 0.024
Nd 0.223 0.777 0.929
Nd 0.441 0.022 0.215
Nd 0.468 0.532 0.725
Nd 0.532 0.468 0.225
Nd 0.559 0.978 0.715
Nd 0.777 0.223 0.429
Nd 0.786 0.871 0.524
Nd 0.871 0.786 0.024
Nd 0.978 0.559 0.215
Y 0.312 0.688 0.472
Y 0.688 0.312 0.972

A plane-wave DFT calculation with PBE was carried out for Tb5Nd4Th after structural relaxation.

Output
Calculated volume: 333 Å³/cell
E above lowest polymorph: 0.007 eV per atom
Space group: C2/m (12)
DOS at the Fermi energy: 13.47 states/eV per cell
E: -4.94 eV per atom

Cell: 13.022 13.022 7.194 Å, 97.77 97.77 16.01°
Fractional positions:
Tb 0.000 0.000 0.000
Tb 0.200 0.200 0.101
Tb 0.403 0.403 0.697
Tb 0.597 0.597 0.303
Tb 0.800 0.800 0.899
Nd 0.201 0.201 0.601
Nd 0.403 0.403 0.203
Nd 0.597 0.597 0.797
Nd 0.799 0.799 0.399
Th 0.000 0.000 0.500

A plane-wave DFT calculation with PBE was carried out for LiNi3Te after structural relaxation.

Output
Calculated volume: 68 Å³/cell
E above lowest polymorph: 0.029 eV per atom
Space group: Pm-3m (221)
Energy relative to the elements, uncorrected: 0.555 eV/atom
DOS at the Fermi energy: 3.87 states/eV per cell
E: -3.93 eV per atom

Cell: 4.079 4.079 4.079 Å, 90.00 90.00 90.00°
Fractional positions:
Li 0.000 0.000 0.000
Ni 0.000 0.000 0.500
Ni 0.000 0.500 0.000
Ni 0.500 0.000 0.000
Te 0.500 0.500 0.500

A plane-wave DFT calculation with PBE was carried out for ZnTc after structural relaxation.

Output
Calculated volume: 123 Å³/cell
E above lowest polymorph: 0.324 eV per atom
Space group: Fddd (70)
DOS at the Fermi energy: 7.98 states/eV per cell
E: -5.54 eV per atom

Cell: 8.440 7.828 4.374 Å, 82.29 66.81 30.91°
Fractional positions:
Zn 0.039 0.711 0.039
Zn 0.289 0.961 0.289
Zn 0.711 0.039 0.711
Zn 0.961 0.289 0.961
Tc 0.291 0.291 0.459
Tc 0.459 0.459 0.291
Tc 0.541 0.541 0.709
Tc 0.709 0.709 0.541

A plane-wave DFT calculation with PBE was carried out for KTeBr after structural relaxation.

Output
Calculated volume: 105 Å³/cell
E above lowest polymorph: 0.536 eV per atom
Space group: P3m1 (156)
Energy relative to the elements, uncorrected: -0.401 eV/atom
DOS at the Fermi energy: 2.77 states/eV per cell
E: -2.37 eV per atom

Cell: 3.621 3.621 9.242 Å, 90.00 90.00 120.00°
Fractional positions:
K 0.000 0.000 0.000
Te 0.667 0.333 0.323
Br 0.333 0.667 0.753

A plane-wave DFT calculation with PBE was carried out for K2Tm2ZrSe6 after structural relaxation.

Output
Calculated volume: 333 Å³/cell
Space group: C2/m (12)
Energy relative to the elements, uncorrected: -1.646 eV/atom
E: -5.34 eV per atom

Cell: 6.981 6.981 8.223 Å, 98.35 98.35 119.73°
Fractional positions:
K 0.169 0.831 0.000
K 0.831 0.169 0.000
Tm 0.333 0.667 0.500
Tm 0.667 0.333 0.500
Zr 0.000 0.000 0.500
Se 0.069 0.390 0.699
Se 0.255 0.255 0.303
Se 0.390 0.069 0.699
Se 0.610 0.931 0.301
Se 0.745 0.745 0.697
Se 0.931 0.610 0.301

A plane-wave DFT calculation with PBE was carried out for CuHg2As after structural relaxation.

Output
Calculated volume: 322 Å³/cell
Space group: F-43m (216)
DOS at the Fermi energy: 4.84 states/eV per cell
E: -1.94 eV per atom

Cell: 6.854 6.854 6.854 Å, 90.00 90.00 90.00°
Fractional positions:
Cu 0.000 0.000 0.000
Cu 0.000 0.500 0.500
Cu 0.500 0.000 0.500
Cu 0.500 0.500 0.000
Hg 0.000 0.000 0.500
Hg 0.000 0.500 0.000
Hg 0.250 0.250 0.250
Hg 0.250 0.750 0.750
Hg 0.500 0.000 0.000
Hg 0.500 0.500 0.500
Hg 0.750 0.250 0.750
Hg 0.750 0.750 0.250
As 0.250 0.250 0.750
As 0.250 0.750 0.250
As 0.750 0.250 0.250
As 0.750 0.750 0.750

A plane-wave DFT calculation with PBE was carried out for ThScPb2 after structural relaxation.

Output
Calculated volume: 453 Å³/cell
Space group: Cmcm (63)
DOS at the Fermi energy: 10.82 states/eV per cell
E: -5.55 eV per atom

Cell: 3.581 17.897 7.072 Å, 90.00 90.00 90.00°
Fractional positions:
Th 0.000 0.004 0.250
Th 0.000 0.996 0.750
Th 0.500 0.496 0.750
Th 0.500 0.504 0.250
Sc 0.000 0.234 0.750
Sc 0.000 0.766 0.250
Sc 0.500 0.266 0.250
Sc 0.500 0.734 0.750
Pb 0.000 0.370 0.007
Pb 0.000 0.370 0.493
Pb 0.000 0.630 0.507
Pb 0.000 0.630 0.993
Pb 0.500 0.130 0.507
Pb 0.500 0.130 0.993
Pb 0.500 0.870 0.007
Pb 0.500 0.870 0.493

A plane-wave DFT calculation with PBE was carried out for EuMgAu after structural relaxation.

Output
Calculated volume: 150 Å³/cell
Space group: I4mm (107)
DOS at the Fermi energy: 15.16 states/eV per cell
E: -5.56 eV per atom

Cell: 3.633 3.633 11.396 Å, 90.00 90.00 90.00°
Fractional positions:
Eu 0.000 0.000 0.000
Eu 0.500 0.500 0.500
Mg 0.000 0.000 0.714
Mg 0.500 0.500 0.214
Au 0.000 0.000 0.324
Au 0.500 0.500 0.824

A plane-wave DFT calculation with PBE was carried out for La2TbSm4Ho after structural relaxation.

Output
Calculated volume: 273 Å³/cell
Space group: P2/m (10)
DOS at the Fermi energy: 13.31 states/eV per cell
E: -4.72 eV per atom

Cell: 5.131 5.150 10.320 Å, 90.00 90.13 90.00°
Fractional positions:
La 0.000 0.000 0.000
La 0.500 0.500 0.500
Tb 0.000 0.000 0.500
Sm 0.001 0.500 0.751
Sm 0.500 0.000 0.250
Sm 0.500 0.000 0.750
Sm 0.999 0.500 0.249
Ho 0.500 0.500 0.000